No. 1
4
Lattice="1.9632 1.1335 7.2487 -1.9632 1.1335 7.2487 0.0000 -2.2669 7.2487" Properties=species:S:1:pos:R:3 comment="GGA-PBE TbThSeS, relaxed" m_tot_mub_per_fu=0.0 space_group="R3m (160)" crystal_system=trigonal formation_energy_uncorrected_kcal_per_mol_atoms=-40.09 pbc="T T T"
Tb 0.0000 0.0000 0.0000
Th 0.0000 0.0000 17.8048
Se 0.0000 0.0000 12.6320
S 0.0000 0.0000 8.7991

=====

No. 2
12
Lattice="3.4095 -5.8981 0.0000 3.4095 5.8981 0.0000 -2.2574 0.0000 7.9519" Properties=species:S:1:pos:R:3 comment="GGA-PBE Tb6Tl3Se2S, relaxed" m_tot_mub_per_fu=0.0 space_group="C2/m (12)" crystal_system=monoclinic formation_energy_uncorrected_kcal_per_mol_atoms=-25.30 pbc="T T T"
Tb 1.1023 1.9182 1.6768
Tb -0.0474 0.0000 6.2324
Tb 1.1023 -1.9182 1.6768
Tb 3.4593 1.9182 6.2752
Tb 4.6090 0.0000 1.7195
Tb 3.4593 -1.9182 6.2752
Tl 2.2808 3.8461 3.9760
Tl 2.2808 0.0000 3.9760
Tl 2.2808 -3.8461 3.9760
Se 3.4095 1.9480 0.0000
Se 3.4095 -1.9480 0.0000
S 0.0000 0.0000 0.0000

=====

No. 3
16
Lattice="6.8480 -3.9358 0.0000 6.8480 3.9358 0.0000 -4.5884 0.0000 7.9550" Properties=species:S:1:pos:R:3 comment="GGA-PBE Tb8Tl4Se3S, relaxed" m_tot_mub_per_fu=0.0 space_group="C2/m (12)" crystal_system=monoclinic formation_energy_uncorrected_kcal_per_mol_atoms=-25.06 pbc="T T T"
Tb -0.0689 0.0000 5.6673
Tb 3.4375 2.0156 5.6664
Tb 5.6701 2.0156 2.2886
Tb 2.2738 0.0000 2.2361
Tb 6.8338 0.0000 5.7189
Tb 3.4375 -2.0156 5.6664
Tb 5.6701 -2.0156 2.2886
Tb 9.1765 0.0000 2.2877
Tl 0.0000 0.0000 0.0000
Tl 3.4240 1.9679 0.0000
Tl 3.4240 -1.9679 0.0000
Tl 6.8480 0.0000 0.0000
Se 1.1298 1.9679 3.9775
Se 1.1298 -1.9679 3.9775
Se 4.5538 0.0000 3.9775
S -2.2942 0.0000 3.9775

=====

No. 4
12
Lattice="3.3764 -5.8382 0.0000 3.3764 5.8382 0.0000 -2.2297 0.0000 7.9484" Properties=species:S:1:pos:R:3 comment="GGA-PBE Tb6Tl3SeS2, relaxed" m_tot_mub_per_fu=0.0 space_group="C2/m (12)" crystal_system=monoclinic formation_energy_uncorrected_kcal_per_mol_atoms=-26.26 pbc="T T T"
Tb -0.0065 1.9942 6.2869
Tb 1.0627 0.0000 1.6316
Tb -0.0065 -1.9942 6.2869
Tb 4.5295 1.9942 1.6614
Tb 3.4603 0.0000 6.3168
Tb 4.5295 -1.9942 1.6614
Tl -1.1149 0.0000 3.9742
Tl 2.2615 1.8742 3.9742
Tl 2.2615 -1.8742 3.9742
Se 3.3764 0.0000 0.0000
S 3.3764 3.8809 0.0000
S 3.3764 -3.8809 0.0000

=====

Number 1: V 96.8 Å³/cell. Number 2: V 319.8 Å³/cell. Number 3: V 428.8 Å³/cell. Number 4: V 313.4 Å³/cell.